! Li3V3O5F3 | Alexandria | PBEsol | relaxed; values from VASP
! raw total energy	-7.2440	eV per atom
! space-group type	No. 1
! raw formation energy	-2470	meV per atom
&SYSTEM
  ibrav = 0, nat = 14, ntyp = 4
/
ATOMIC_SPECIES
O 16.00 O.upf
V 50.94 V.upf
Li 6.94 Li.upf
F 19.00 F.upf
CELL_PARAMETERS angstrom
-2.7117 1.6067 4.7105
-3.0061 -0.1496 -5.0205
1.6580 -5.0051 2.7472
ATOMIC_POSITIONS angstrom
O 0.1642 -4.1412 1.6371
O -0.4727 -1.9564 0.4849
O -2.0728 -1.7940 -2.1112
O -1.0551 -3.2191 3.9972
O -1.6913 -0.8927 2.8149
V -3.0103 -0.2105 -1.6868
V -0.6048 -2.4414 2.3162
V -2.0903 -1.7558 4.5563
Li -3.0685 -0.0240 1.7635
Li -0.1131 -0.1250 -0.1077
Li -2.2186 -2.6508 -0.2682
F -2.3951 -3.5001 1.5613
F -1.1076 -4.2955 -0.7327
F -3.3751 -1.0147 0.1450